No. 1
4
Lattice="-2.214 3.642 -2.420 -3.937 -0.933 -2.767 -4.423 1.557 1.427" Properties=species:S:1:pos:R:3 comment="LiTbTmRe, relaxed, DFT PBE" sg="F-43m (216)" pbc="T T T"
Re -7.931 3.200 -2.820
Li -2.644 1.067 -0.940
Tm 0.000 0.000 0.000
Tb -5.287 2.133 -1.880


No. 2
6
Lattice="4.344 -4.492 -0.329 4.624 -2.826 -3.129 6.588 2.563 2.184" Properties=species:S:1:pos:R:3 comment="LaRu, relaxed, DFT PBE" sg="Cm (8)" pbc="T T T"
Ru 2.874 0.786 0.755
Ru 6.970 -4.581 -2.029
Ru 7.018 1.967 1.872
La 8.555 -0.607 0.494
La 9.915 -3.158 -0.887
La 4.961 -2.145 -0.780


No. 3
24
Lattice="3.524 0.000 0.000 0.000 11.686 -4.979 0.000 0.014 12.702" Properties=species:S:1:pos:R:3 comment="Tm11Al9Pd4, relaxed, DFT PBE" sg="Cmmm (65)" pbc="T T T"
Pd 1.762 6.482 6.872
Pd 1.762 8.866 3.260
Pd 1.762 2.834 4.463
Pd 1.762 5.218 0.852
Tm 0.000 9.804 -2.128
Tm 0.000 1.896 9.852
Tm 0.000 3.547 2.341
Tm 0.000 4.786 -1.249
Tm 0.000 10.968 2.831
Tm 0.000 6.914 8.973
Tm 0.000 8.153 5.382
Tm 0.000 4.344 6.143
Tm 0.000 0.000 0.000
Tm 0.000 0.732 4.892
Tm 0.000 7.356 1.581
Al 1.762 7.404 -1.073
Al 1.762 10.826 5.370
Al 1.762 0.874 2.354
Al 1.762 9.192 7.844
Al 1.762 9.777 0.494
Al 1.762 5.850 3.862
Al 1.762 2.508 -0.121
Al 1.762 1.923 7.230
Al 1.762 4.296 8.797


No. 4
4
Lattice="0.000 3.897 3.897 3.897 0.000 3.897 3.897 3.897 0.000" Properties=species:S:1:pos:R:3 comment="CsPdPb2, relaxed, DFT PBE" sg="Fm-3m (225)" pbc="T T T"
Pd 0.000 0.000 0.000
Pb 1.948 1.948 1.948
Pb 5.845 5.845 5.845
Cs 3.897 3.897 3.897


No. 5
3
Lattice="2.768 0.000 0.000 0.000 2.768 0.000 -1.384 -1.384 6.650" Properties=species:S:1:pos:R:3 comment="UOs2, relaxed, DFT PBE" sg="I4/mmm (139)" pbc="T T T"
Os 1.384 1.384 2.466
Os 0.000 0.000 4.184
U 0.000 0.000 0.000


No. 6
4
Lattice="5.060 0.001 0.000 4.162 2.877 0.000 1.251 0.390 4.844" Properties=species:S:1:pos:R:3 comment="YCr2Ir, relaxed, DFT PBE" sg="C2/m (12)" pbc="T T T"
Ir 7.854 2.452 3.632
Cr 5.158 1.610 2.974
Cr 1.329 0.415 4.291
Y 2.618 0.817 1.211


No. 7
8
Lattice="-1.261 -3.347 2.123 5.896 0.386 4.110 -1.338 4.142 5.733" Properties=species:S:1:pos:R:3 comment="NdY2HoAs4, relaxed, DFT PBE" sg="P2/m (10)" pbc="T T T"
Ho 2.279 2.264 4.922
As -0.164 1.511 6.359
As 3.458 3.371 7.367
As -0.161 -2.190 4.600
As 3.460 -0.331 5.608
Y -1.300 0.397 3.928
Y -1.338 4.142 5.733
Nd 2.317 -1.480 3.117


No. 8
4
Lattice="5.596 0.000 0.000 2.798 4.846 0.000 2.798 1.615 9.244" Properties=species:S:1:pos:R:3 comment="KBa2Pb, relaxed, DFT PBE" sg="R3m (160)" pbc="T T T"
Ba 2.798 1.615 1.489
Ba 2.798 1.615 7.812
Pb 5.596 3.231 0.103
K 5.596 3.231 4.463


No. 9
12
Lattice="3.938 0.000 0.000 0.000 3.938 0.000 0.000 0.000 11.806" Properties=species:S:1:pos:R:3 comment="NbZn2Pd9, relaxed, DFT PBE" sg="P4/mmm (123)" pbc="T T T"
Pd 0.000 1.969 5.903
Pd 1.969 0.000 9.852
Pd 1.969 0.000 1.954
Pd 1.969 1.969 0.000
Pd 0.000 1.969 1.954
Pd 1.969 1.969 3.913
Pd 1.969 1.969 7.893
Pd 1.969 0.000 5.903
Pd 0.000 1.969 9.852
Nb 0.000 0.000 0.000
Zn 0.000 0.000 4.015
Zn 0.000 0.000 7.791


No. 10
7
Lattice="5.857 0.000 0.000 0.000 9.317 0.000 -2.929 -4.658 5.565" Properties=species:S:1:pos:R:3 comment="SnSbBr5, relaxed, DFT PBE" sg="Imm2 (44)" e_form_raw_ev_per_atom=-0.5998 pbc="T T T"
Sn 0.736 0.000 0.000
Br 0.097 4.658 0.000
Br 2.858 7.507 0.000
Br -0.128 0.000 2.761
Br 2.801 4.658 2.803
Br 2.858 1.810 0.000
Sb 2.672 4.658 0.000


No. 11
15
Lattice="-5.382 6.216 0.750 -0.905 -5.537 -6.058 -2.167 -2.916 8.615" Properties=species:S:1:pos:R:3 comment="Cs3Np3SnS8, relaxed, DFT PBE" sg="R-3m (166)" e_form_raw_ev_per_atom=-1.2327 pbc="T T T"
Np -3.775 1.650 4.683
Np -1.536 -4.226 1.278
Np -4.228 -1.119 1.653
Cs -0.453 -2.768 -3.029
Cs -3.144 0.340 -2.654
Cs 0.000 0.000 0.000
S -2.333 0.553 2.656
S -5.786 0.034 3.646
S -3.580 -5.726 0.297
S -4.875 3.488 3.010
S -5.303 0.873 0.150
S -3.152 -3.111 3.157
S -2.670 -2.271 -0.339
S -6.122 -2.790 0.651
Sn -1.084 -1.458 4.308


No. 12
10
Lattice="-3.587 -2.039 -0.892 4.828 -6.686 -4.131 -1.442 1.624 12.071" Properties=species:S:1:pos:R:3 comment="Ac4NiBr5, relaxed, DFT PBE" sg="C2/m (12)" e_form_raw_ev_per_atom=-1.3823 pbc="T T T"
Br 0.621 -4.363 -2.512
Br 1.507 -3.383 1.672
Br -1.011 0.087 3.866
Br 0.810 -7.188 3.182
Br -1.708 -3.719 5.376
Ni -1.794 -1.020 -0.446
Ac -3.992 -1.823 10.228
Ac 3.792 -5.278 -3.180
Ac -1.578 -2.554 2.194
Ac 1.377 -4.547 4.853


No. 13
4
Lattice="-4.449 -1.114 2.629 0.628 -5.165 0.935 3.445 3.851 1.116" Properties=species:S:1:pos:R:3 comment="BeHgSb2, relaxed, DFT PBE" sg="I4/mmm (139)" e_form_raw_ev_per_atom=0.6041 pbc="T T T"
Sb -1.911 -3.140 1.782
Sb 0.000 0.000 0.000
Be 1.081 -2.227 1.917
Hg -1.457 -0.201 2.764


No. 14
12
Lattice="-0.145 -0.193 5.283 0.847 -5.218 -0.167 5.338 3.622 -2.369" Properties=species:S:1:pos:R:3 comment="NaPuTc2O8, relaxed, DFT PBE" sg="I-4 (82)" e_form_raw_ev_per_atom=-1.8044 pbc="T T T"
O 4.105 -1.307 1.367
O 4.414 -2.674 -1.278
O 1.443 -3.873 3.395
O 2.464 -3.620 0.678
O 4.610 1.560 1.485
O 1.073 -1.245 1.782
O 2.089 -1.000 -0.721
O 4.953 -0.019 -1.166
Na 2.772 0.362 2.737
Tc 3.268 -2.151 0.011
Tc 0.351 -2.705 2.558
Pu 0.000 0.000 0.000


No. 15
8
Lattice="-4.519 -4.036 -0.338 -0.167 -0.320 6.058 -6.405 2.360 2.987" Properties=species:S:1:pos:R:3 comment="Sc2AsSe, relaxed, DFT PBE" sg="I-42d (122)" e_form_raw_ev_per_atom=-1.1068 pbc="T T T"
Se 0.000 0.000 0.000
Se -6.634 -1.927 2.754
Sc -4.417 -1.946 1.295
Sc -8.903 -2.039 7.205
Sc -6.562 0.134 4.425
Sc -2.301 -0.141 4.488
As -4.458 -0.069 5.952
As -2.343 -2.178 2.860


No. 16
14
Lattice="4.740 0.000 0.714 2.353 5.581 0.474 0.188 -0.190 14.846" Properties=species:S:1:pos:R:3 comment="Ac3Zn3Ga, relaxed, DFT PBE" sg="C2/m (12)" pbc="T T T"
Zn 2.711 4.725 14.186
Zn 4.570 0.665 1.848
Zn 1.359 1.452 7.069
Zn 0.697 0.496 11.462
Zn 5.922 3.938 8.965
Zn 6.583 4.894 4.572
Ga 3.877 0.535 6.445
Ga 3.404 4.856 9.589
Ac 4.561 3.951 1.906
Ac 1.864 1.612 3.719
Ac 5.417 3.778 12.315
Ac 3.878 3.891 6.439
Ac 2.720 1.439 14.128
Ac 3.403 1.499 9.595


No. 17
5
Lattice="4.113 0.000 0.000 0.000 4.113 0.000 0.000 0.000 4.113" Properties=species:S:1:pos:R:3 comment="LiW3N, relaxed, DFT PBE" sg="Pm-3m (221)" e_form_raw_ev_per_atom=0.2627 pbc="T T T"
W 0.000 2.057 0.000
W 2.057 0.000 0.000
W 0.000 0.000 2.057
Li 2.057 2.057 2.057
N 0.000 0.000 0.000


No. 18
11
Lattice="-6.297 1.057 -1.266 -1.511 -9.364 -0.297 -0.862 4.692 8.198" Properties=species:S:1:pos:R:3 comment="Sr8CuPd2, relaxed, DFT PBE" sg="P-1 (2)" pbc="T T T"
Pd -6.041 -3.883 1.579
Pd -2.629 0.268 5.056
Sr -6.139 -6.357 0.083
Sr -3.326 -2.205 6.383
Sr -2.887 -4.412 2.213
Sr -2.530 2.741 6.552
Sr -5.782 0.797 4.422
Sr -5.344 -1.410 0.252
Sr -2.073 0.271 2.218
Sr -6.596 -3.886 4.417
Cu -0.862 4.692 8.198


No. 19
16
Lattice="0.593 8.888 0.826 2.762 3.601 7.709 8.006 3.923 0.489" Properties=species:S:1:pos:R:3 comment="Pm5Sc3Bi8, relaxed, DFT PBE" sg="R-3m (166)" pbc="T T T"
Sc 4.299 6.405 0.658
Sc 5.384 3.762 4.099
Sc 4.003 1.961 0.245
Pm 1.381 1.801 3.854
Pm 0.000 0.000 0.000
Pm 0.296 4.444 0.413
Pm 1.678 6.244 4.267
Pm 5.680 8.206 4.512
Bi 4.326 5.833 6.105
Bi 7.035 10.578 2.918
Bi 8.150 7.860 6.457
Bi 8.375 12.314 6.818
Bi 3.210 8.551 2.567
Bi 2.986 4.098 2.206
Bi 4.631 10.403 6.530
Bi 6.730 6.009 2.494


No. 20
12
Lattice="4.133 0.066 0.013 2.165 6.160 0.007 -0.023 0.000 7.307" Properties=species:S:1:pos:R:3 comment="InCu6Au5, relaxed, DFT PBE" sg="P2/m (10)" pbc="T T T"
Cu 2.114 4.080 5.464
Cu 4.161 2.146 1.863
Cu 2.049 0.033 5.439
Cu 4.149 2.146 5.471
Cu 4.226 6.193 1.888
Cu 2.126 4.080 1.857
In 0.000 0.000 0.000
Au 4.187 4.159 3.667
Au 4.179 4.169 7.320
Au -0.012 0.000 3.653
Au 2.088 2.067 3.660
Au 2.096 2.057 0.007


No. 21
12
Lattice="4.090 0.000 0.000 0.000 4.090 0.000 0.000 0.000 12.286" Properties=species:S:1:pos:R:3 comment="Tl2Pd9Pb, relaxed, DFT PBE" sg="P4/mmm (123)" pbc="T T T"
Tl 0.000 0.000 4.115
Tl 0.000 0.000 8.171
Pd 2.045 2.045 8.198
Pd 0.000 2.045 10.231
Pd 0.000 2.045 2.055
Pd 0.000 2.045 6.143
Pd 2.045 0.000 10.231
Pd 2.045 0.000 6.143
Pd 2.045 2.045 0.000
Pd 2.045 2.045 4.088
Pd 2.045 0.000 2.055
Pb 0.000 0.000 0.000


No. 22
7
Lattice="3.558 0.262 -0.322 -0.905 8.183 -3.301 -0.934 -1.283 8.572" Properties=species:S:1:pos:R:3 comment="Pr2DyY4, relaxed, DFT PBE" sg="C2/m (12)" pbc="T T T"
Y 1.257 6.727 -0.505
Y 0.462 0.434 5.455
Y -0.141 5.119 2.629
Y 1.860 2.042 2.320
Pr -0.274 3.365 -0.248
Pr 1.993 3.796 5.198
Dy 0.000 0.000 0.000


No. 23
10
Lattice="8.859 0.000 0.000 0.000 8.859 0.000 0.000 0.000 3.459" Properties=species:S:1:pos:R:3 comment="La2Tc2Te, relaxed, DFT PBE" sg="P4/mbm (127)" e_form_raw_ev_per_atom=0.1384 pbc="T T T"
Tc 8.085 3.655 1.729
Tc 0.775 5.205 1.729
Tc 5.205 8.085 1.729
Tc 3.655 0.775 1.729
Te 0.000 0.000 0.000
Te 4.430 4.430 0.000
La 2.797 7.227 0.000
La 6.062 1.633 0.000
La 1.633 2.797 0.000
La 7.227 6.062 0.000


no.,energy (eV per atom)
1,-5.813
2,-7.012
3,-4.941
4,-3.074
5,-11.119
6,-8.508
7,-6.640
8,-2.376
9,-5.323
10,-2.955
11,-6.460
12,-4.440
13,-2.464
14,-8.142
15,-6.306
16,-3.062
17,-9.557
18,-2.638
19,-5.427
20,-3.686
21,-4.817
22,-5.667
23,-6.607